Hf2CuHgIr PBE-GGA optimized geometry; DOS(E_F) = 0.744 states/eV/atom; magnetization = 0.00 μB per formula unit
1.0
4.959 0.000 0.000
0.000 4.959 0.000
0.000 0.000 5.171
Hf Cu Hg Ir
2 1 1 1
direct
0.000 0.500 0.000
0.500 0.000 0.000
0.000 0.000 0.500
0.500 0.500 0.500
0.500 0.500 0.000



LiHfCuHg PBE-GGA optimized geometry; DOS(E_F) = 0.420 states/eV/atom; magnetization = 0.00 μB per formula unit
1.0
0.000 3.265 3.265
3.265 0.000 3.265
3.265 3.265 0.000
Li Hf Cu Hg
1 1 1 1
direct
0.000 0.000 0.000
0.500 0.500 0.500
0.250 0.250 0.250
0.750 0.750 0.750



HfMgCuHg PBE-GGA optimized geometry; DOS(E_F) = 0.595 states/eV/atom; magnetization = 0.00 μB per formula unit
1.0
0.000 3.334 3.334
3.334 0.000 3.334
3.334 3.334 0.000
Hf Mg Cu Hg
1 1 1 1
direct
0.000 0.000 0.000
0.500 0.500 0.500
0.750 0.750 0.750
0.250 0.250 0.250



HfMg2CuHg PBE-GGA optimized geometry; DOS(E_F) = 0.560 states/eV/atom; magnetization = 0.00 μB per formula unit
1.0
4.704 0.000 0.000
0.000 4.704 0.000
0.000 0.000 4.850
Hf Mg Cu Hg
1 2 1 1
direct
0.000 0.000 0.000
0.000 0.500 0.500
0.500 0.000 0.500
0.500 0.500 0.500
0.500 0.500 0.000



HfCuNi2Hg PBE-GGA optimized geometry; DOS(E_F) = 0.655 states/eV/atom; magnetization = 0.00 μB per formula unit
1.0
4.623 0.000 0.000
0.000 4.623 0.000
0.000 0.000 4.889
Hf Cu Ni Hg
1 1 2 1
direct
0.000 0.000 0.000
0.000 0.000 0.500
0.000 0.500 0.000
0.500 0.000 0.000
0.500 0.500 0.500



HfCuHg2P PBE-GGA optimized geometry; DOS(E_F) = 0.462 states/eV/atom; magnetization = 0.00 μB per formula unit
1.0
4.764 0.000 0.000
0.000 4.764 0.000
0.000 0.000 5.069
Hf Cu Hg P
1 1 2 1
direct
0.000 0.000 0.000
0.000 0.000 0.500
0.000 0.500 0.500
0.500 0.000 0.500
0.500 0.500 0.000



no.,V (Å³/cell),DFT total energy (eV per atom),E_form (eV per atom)
1,127.1,-6.10,0.538
2,69.6,-4.12,-0.059
3,74.1,-4.08,-0.089
4,107.3,-3.07,0.441
5,104.5,-4.09,1.095
6,115.1,-3.39,0.621